Below is MgSe after structural relaxation, with properties calculated at the PBE level.

Cell lengths 10.162, 10.162, 4.357 Å; angles 90.00, 90.00, 120.00 degrees
Sites, in units of the cell vectors:
Mg  0.071  0.418  0.250
Mg  0.347  0.929  0.250
Mg  0.418  0.347  0.750
Mg  0.582  0.653  0.250
Mg  0.653  0.071  0.750
Mg  0.929  0.582  0.750
Se  0.087  0.685  0.250
Se  0.315  0.403  0.250
Se  0.403  0.087  0.750
Se  0.597  0.913  0.250
Se  0.685  0.597  0.750
Se  0.913  0.315  0.750

space-group type: P6_3/m
volume: 390 Å³ per cell
total magnetic moment: 0.00 μB/f.u.
formation energy (no corrections): -1.20 eV/atom



Below is HoCoGe3Ru after structural relaxation, with properties calculated at the PBE level.

Cell lengths 7.503, 7.503, 5.634 Å; angles 90.00, 90.00, 130.73 degrees
Sites, in units of the cell vectors:
Ho  0.176  0.824  0.750
Ho  0.824  0.176  0.250
Co  0.403  0.597  0.250
Co  0.597  0.403  0.750
Ge  0.244  0.756  0.250
Ge  0.286  0.286  0.000
Ge  0.286  0.286  0.500
Ge  0.714  0.714  0.000
Ge  0.714  0.714  0.500
Ge  0.756  0.244  0.750
Ru  0.073  0.927  0.250
Ru  0.927  0.073  0.750

space-group type: Cmcm
energy: -6.02 eV per atom
volume: 240 Å³ per cell
total magnetic moment: 0.00 μB/f.u.



Below is KSe2Cl after structural relaxation, with properties calculated at the PBE level.

Cell lengths 3.847, 3.847, 8.292 Å; angles 90.00, 90.00, 90.00 degrees
Sites, in units of the cell vectors:
K  0.000  0.000  0.000
Se  0.000  0.000  0.448
Se  0.500  0.500  0.430
Cl  0.500  0.500  0.873

space-group type: P4mm
volume: 123 Å³ per cell
total magnetic moment: 0.00 μB/f.u.
formation energy (no corrections): -0.70 eV/atom



Below is AcVS after structural relaxation, with properties calculated at the PBE level.

Cell lengths 3.831, 3.831, 9.430 Å; angles 90.00, 90.00, 90.00 degrees
Sites, in units of the cell vectors:
Ac  0.250  0.250  0.190
Ac  0.750  0.750  0.810
V  0.250  0.750  0.500
V  0.750  0.250  0.500
S  0.250  0.250  0.650
S  0.750  0.750  0.350

space-group type: P4/nmm
volume: 138 Å³ per cell
total magnetic moment: 0.00 μB/f.u.
formation energy (no corrections): -0.85 eV/atom



Below is ThCd2Rh4 after structural relaxation, with properties calculated at the PBE level.

Cell lengths 6.713, 6.713, 6.021 Å; angles 90.00, 90.00, 90.00 degrees
Sites, in units of the cell vectors:
Th  0.000  0.000  0.000
Th  0.500  0.500  0.500
Cd  0.000  0.500  0.000
Cd  0.000  0.500  0.500
Cd  0.500  0.000  0.000
Cd  0.500  0.000  0.500
Rh  0.250  0.250  0.250
Rh  0.250  0.250  0.750
Rh  0.250  0.750  0.250
Rh  0.250  0.750  0.750
Rh  0.750  0.250  0.250
Rh  0.750  0.250  0.750
Rh  0.750  0.750  0.250
Rh  0.750  0.750  0.750

space-group type: I4/mmm
energy: -5.68 eV per atom
volume: 271 Å³ per cell
total magnetic moment: 0.00 μB/f.u.



Below is Th2SnHgRu after structural relaxation, with properties calculated at the PBE level.

Cell lengths 8.103, 4.266, 8.226 Å; angles 90.00, 112.12, 90.00 degrees
Sites, in units of the cell vectors:
Th  0.020  0.250  0.231
Th  0.346  0.750  0.613
Th  0.654  0.250  0.387
Th  0.980  0.750  0.769
Sn  0.347  0.250  0.963
Sn  0.653  0.750  0.037
Hg  0.302  0.750  0.204
Hg  0.698  0.250  0.796
Ru  0.114  0.250  0.624
Ru  0.886  0.750  0.376

space-group type: P2_1/m
energy: -6.11 eV per atom
volume: 263 Å³ per cell
total magnetic moment: 0.00 μB/f.u.



Below is NbCrTeW2 after structural relaxation, with properties calculated at the PBE level.

Cell lengths 4.596, 4.596, 4.674 Å; angles 90.00, 90.00, 90.00 degrees
Sites, in units of the cell vectors:
Nb  0.000  0.000  0.000
Cr  0.000  0.000  0.500
Te  0.500  0.500  0.000
W  0.000  0.500  0.500
W  0.500  0.000  0.500

space-group type: P4/mmm
volume: 99 Å³ per cell
total magnetic moment: 0.00 μB/f.u.
formation energy (no corrections): 1.28 eV/atom



Below is ThSiPb after structural relaxation, with properties calculated at the PBE level.

Cell lengths 4.441, 17.246, 4.107 Å; angles 90.00, 90.00, 90.00 degrees
Sites, in units of the cell vectors:
Th  0.000  0.093  0.250
Th  0.000  0.907  0.750
Th  0.500  0.407  0.750
Th  0.500  0.593  0.250
Si  0.000  0.458  0.250
Si  0.000  0.542  0.750
Si  0.500  0.042  0.750
Si  0.500  0.958  0.250
Pb  0.000  0.255  0.750
Pb  0.000  0.745  0.250
Pb  0.500  0.245  0.250
Pb  0.500  0.755  0.750

space-group type: Cmcm
volume: 315 Å³ per cell
total magnetic moment: 0.00 μB/f.u.
formation energy (no corrections): -0.40 eV/atom



Below is V5Mo7 after structural relaxation, with properties calculated at the PBE level.

Cell lengths 6.724, 6.724, 8.765 Å; angles 90.09, 90.09, 26.62 degrees
Sites, in units of the cell vectors:
V  0.000  0.000  0.000
V  0.167  0.167  0.747
V  0.332  0.332  0.499
V  0.668  0.668  0.501
V  0.833  0.833  0.253
Mo  0.000  0.000  0.500
Mo  0.168  0.168  0.253
Mo  0.334  0.334  0.001
Mo  0.498  0.498  0.250
Mo  0.502  0.502  0.750
Mo  0.666  0.666  0.999
Mo  0.832  0.832  0.747

space-group type: C2/m
energy: -10.25 eV per atom
volume: 178 Å³ per cell
total magnetic moment: 0.00 μB/f.u.



Below is Tl4H5I after structural relaxation, with properties calculated at the PBE level.

Cell lengths 8.426, 9.040, 6.147 Å; angles 90.00, 90.00, 90.00 degrees
Sites, in units of the cell vectors:
Tl  0.019  0.250  0.080
Tl  0.250  0.048  0.603
Tl  0.250  0.452  0.603
Tl  0.481  0.250  0.080
Tl  0.519  0.750  0.920
Tl  0.750  0.548  0.397
Tl  0.750  0.952  0.397
Tl  0.981  0.750  0.920
H  0.073  0.582  0.773
H  0.073  0.918  0.773
H  0.250  0.250  0.000
H  0.427  0.582  0.773
H  0.427  0.918  0.773
H  0.573  0.082  0.227
H  0.573  0.418  0.227
H  0.750  0.750  0.000
H  0.927  0.082  0.227
H  0.927  0.418  0.227
I  0.250  0.750  0.285
I  0.750  0.250  0.715

space-group type: Pmmn
energy: -2.53 eV per atom
volume: 468 Å³ per cell
total magnetic moment: 0.00 μB/f.u.



Below is LaCd2Te2 after structural relaxation, with properties calculated at the PBE level.

Cell lengths 4.131, 4.131, 18.401 Å; angles 90.00, 90.00, 90.00 degrees
Sites, in units of the cell vectors:
La  0.000  0.000  0.000
La  0.500  0.500  0.500
Cd  0.000  0.500  0.250
Cd  0.000  0.500  0.750
Cd  0.500  0.000  0.250
Cd  0.500  0.000  0.750
Te  0.000  0.000  0.408
Te  0.000  0.000  0.592
Te  0.500  0.500  0.092
Te  0.500  0.500  0.908

space-group type: I4/mmm
volume: 314 Å³ per cell
total magnetic moment: 0.00 μB/f.u.
formation energy (no corrections): -0.65 eV/atom



Below is Li15Cu after structural relaxation, with properties calculated at the PBE level.

Cell lengths 6.004, 6.004, 9.562 Å; angles 90.00, 90.00, 120.00 degrees
Sites, in units of the cell vectors:
Li  0.000  0.000  0.000
Li  0.006  0.503  0.500
Li  0.323  0.161  0.266
Li  0.323  0.161  0.734
Li  0.333  0.667  0.241
Li  0.333  0.667  0.759
Li  0.497  0.503  0.500
Li  0.497  0.994  0.500
Li  0.504  0.007  0.000
Li  0.504  0.496  0.000
Li  0.839  0.161  0.266
Li  0.839  0.161  0.734
Li  0.839  0.677  0.266
Li  0.839  0.677  0.734
Li  0.993  0.496  0.000
Cu  0.000  0.000  0.500

space-group type: P-6m2
energy: -2.03 eV per atom
volume: 299 Å³ per cell
total magnetic moment: 0.00 μB/f.u.